TcPAu2 (PBE, optimized geometry); SG = Cm; volume = 71.1 Å³/cell; ΔH_f (0 K) = 128 meV per atom; size of the total moment = 0.00 μB per cell; density of states at the Fermi level = 3.16 states/eV/f.u.
1.0
3.931 -1.527 0.000
3.931 1.527 0.000
-0.455 0.000 5.924
Tc P Au
1 1 2
Direct
0.000 0.000 0.000
0.714 0.714 0.075
0.283 0.283 0.695
0.549 0.549 0.413